Entry 1:
First-principles (PBE) data for La2FeSb2 after structural relaxation, as listed in the Alexandria database.

a = 7.3399 Å, b = 7.3399 Å, c = 4.9690 Å
α = 90.00°, β = 90.00°, γ = 90.00°
With the nearest neighbours (Å) after each atom.
Sites, in units of the cell vectors:
Fe: 0.0000 0.0000 0.0000  4 Sb 2.81
Sb: 0.1458 0.6458 0.0000  2 Fe 2.81, 1 Sb 3.03, 2 La 3.13
Sb: 0.3542 0.1458 0.0000  2 Fe 2.81, 1 Sb 3.03, 2 La 3.13
Sb: 0.6458 0.8542 0.0000  2 Fe 2.81, 1 Sb 3.03, 2 La 3.13
La: 0.8296 0.6704 0.5000  6 Sb 3.13-3.40
Sb: 0.8542 0.3542 0.0000  2 Fe 2.81, 1 Sb 3.03, 2 La 3.13
La: 0.6704 0.1704 0.5000  6 Sb 3.13-3.40
La: 0.1704 0.3296 0.5000  6 Sb 3.13-3.40
La: 0.3296 0.8296 0.5000  6 Sb 3.13-3.40
Fe: 0.5000 0.5000 0.0000  4 Sb 2.81

E_form (uncorrected), meV per atom: -535
Volume, Å³ per atom: 26.77
Density, g cm⁻³: 7.16
Total energy, eV/atom: -5.85


Entry 2:
First-principles (PBE) data for LaFeSb2 after structural relaxation, as listed in the Alexandria database.

a = 4.7568 Å, b = 4.7568 Å, c = 4.4196 Å
α = 90.00°, β = 90.00°, γ = 90.01°
With the nearest neighbours (Å) after each atom.
Sites, in units of the cell vectors:
La: 0.0000 0.5000 0.5000  8 Sb 3.25, 4 Fe 3.36
Sb: 0.5000 0.5000 0.0000  4 La 3.25, 4 Fe 3.25, 4 Sb 3.36
Fe: 0.5000 0.0000 0.5000  8 Sb 3.25, 4 La 3.36
Sb: 0.0000 0.0000 0.0000  4 Fe 3.25, 4 La 3.25, 4 Sb 3.36

Polymorph energy (0 for the lowest one), eV per atom: 0.351
E_form (uncorrected), meV per atom: -206
Volume, Å³ per atom: 25.00
Density, g cm⁻³: 7.28
Total energy, eV/atom: -5.61


Entry 3:
First-principles (PBE) data for LaFeSb after structural relaxation, as listed in the Alexandria database.

a = 4.4787 Å, b = 4.4787 Å, c = 4.2800 Å
α = 90.00°, β = 90.00°, γ = 120.00°
With the nearest neighbours (Å) after each atom.
Sites, in units of the cell vectors:
Sb: 0.6667 0.3333 0.8334  3 Fe 2.59
Fe: 0.0000 0.0000 0.8329  3 Sb 2.59
La: 0.3333 0.6667 0.3337  6 Fe 3.35-3.36, 6 Sb 3.36

E_form (uncorrected), meV per atom: -469
Volume, Å³ per atom: 24.78
Density, g cm⁻³: 7.07
Total energy, eV/atom: -6.31


Entry 4:
First-principles (PBE) data for La2Fe4Sb5 after structural relaxation, as listed in the Alexandria database.

a = 13.5033 Å, b = 13.5033 Å, c = 4.3113 Å
α = 80.81°, β = 80.81°, γ = 18.70°
With the nearest neighbours (Å) after each atom.
Sites, in units of the cell vectors:
La: 0.3479 0.3479 0.6445  8 Sb 3.29-3.41, 4 Fe 3.43-3.49
Fe: 0.0522 0.0522 0.4401  4 Sb 2.49-2.56, 3 Fe 2.57-2.66
Sb: 0.2476 0.2476 0.2444  4 Sb 3.08, 4 La 3.40-3.41
Fe: 0.9510 0.9510 0.5407  3 Fe 2.49-2.66, 4 Sb 2.65
La: 0.6489 0.6489 0.3432  8 Sb 3.29-3.41, 2 Fe 3.36
Fe: 0.4497 0.4497 0.0463  2 Fe 2.55, 4 Sb 2.64-2.66
Sb: 0.5074 0.5074 0.4887  6 Fe 2.49-2.65
Sb: 0.8924 0.8924 0.0997  5 Fe 2.65-2.80
Fe: 0.9989 0.9989 0.9936  6 Fe 2.49-2.57, 1 Sb 2.79
Sb: 0.1049 0.1049 0.8873  3 Fe 2.56-2.79
Sb: 0.7495 0.7495 0.7425  4 Sb 3.08, 4 La 3.39-3.41

E_form (uncorrected), meV per atom: -404
Volume, Å³ per atom: 22.62
Density, g cm⁻³: 7.41
Total energy, eV/atom: -6.25